Record 1
BaBe2Sb | GGA-PBE | relaxed

The structure in POSCAR format:
```
BaBe2Sb
1.0
-3.534 0.064 -3.818
-4.903 -1.449 0.968
-3.803 3.550 0.034
Sb Ba Be
1 1 2
direct
0.750 0.750 0.750 Sb
0.500 0.500 0.500 Ba
0.000 0.000 0.000 Be
0.250 0.250 0.250 Be
```

VASP energy = -10.74 eV per formula unit
SG = F-43m
Formation energy from raw total energies = 0.6900 eV/atom

***

Record 2
La4Ce2Ge3O2 | GGA-PBE | relaxed

The structure in POSCAR format:
```
La4Ce2Ge3O2
1.0
-3.878 1.973 -2.041
-2.795 -3.255 2.166
2.063 8.231 9.698
La Ce Ge O
4 2 3 2
direct
0.419 0.919 0.838 La
0.919 0.419 0.838 La
0.081 0.581 0.162 La
0.581 0.081 0.162 La
0.299 0.299 0.599 Ce
0.701 0.701 0.401 Ce
0.000 0.000 0.000 Ge
0.176 0.176 0.352 Ge
0.824 0.824 0.648 Ge
0.393 0.393 0.785 O
0.607 0.607 0.215 O
```

VASP energy = -71.28 eV per formula unit
SG = I4/mmm
Formation energy from raw total energies = -1.4489 eV/atom

***

Record 3
La2AlCuC | GGA-PBE | relaxed

The structure in POSCAR format:
```
La2AlCuC
1.0
-4.449 2.874 0.577
0.399 -0.445 5.294
2.135 3.282 0.115
C Al Cu La
1 1 1 2
direct
0.000 0.000 0.000 C
0.000 0.000 0.500 Al
0.500 0.500 0.500 Cu
0.000 0.500 0.000 La
0.500 0.000 0.000 La
```

VASP energy = -27.39 eV per formula unit
Energy above the lowest structure with this stoichiometry = 0 meV/atom
Energy relative to the elements = -94.8 meV per atom
SG = P4/mmm

***

Record 4
Re3Os | GGA-PBE | relaxed

The structure in POSCAR format:
```
Re3Os
1.0
-2.383 -0.746 -2.996
2.933 -1.728 -1.903
-0.964 -3.416 1.617
Os Re
1 3
direct
0.000 0.000 0.000 Os
0.000 0.500 0.500 Re
0.500 0.000 0.500 Re
0.500 0.500 0.000 Re
```

VASP energy = -48.38 eV per formula unit
Energy relative to the elements = 48.6 meV per atom
SG = Pm-3m

***

Record 5
ErPaFePt | GGA-PBE | relaxed

The structure in POSCAR format:
```
ErPaFePt
1.0
-4.791 -0.490 0.628
-1.843 -4.274 1.390
-1.823 -0.520 4.472
Pa Fe Pt Er
1 1 1 1
direct
0.000 0.000 0.000 Pa
0.750 0.750 0.750 Fe
0.250 0.250 0.250 Pt
0.500 0.500 0.500 Er
```

VASP energy = -30.20 eV per formula unit
Energy relative to the elements = -410.3 meV per atom
SG = F-43m

***

Record 6
Sr2OF | GGA-PBE | relaxed

The structure in POSCAR format:
```
Sr2OF
1.0
-0.270 5.654 1.610
1.119 -1.533 5.571
6.073 2.611 2.607
Sr O F
4 2 2
direct
0.597 0.125 0.250 Sr
0.153 0.625 0.250 Sr
0.375 0.403 0.750 Sr
0.875 0.847 0.750 Sr
0.500 0.500 0.000 O
0.250 0.750 0.500 O
0.000 0.000 0.000 F
0.750 0.250 0.500 F
```

VASP energy = -20.59 eV per formula unit
Energy above the lowest structure with this stoichiometry = 21 meV/atom
SG = I-42d
Formation energy from raw total energies = -2.5999 eV/atom